! GGA-PBE LaNd2Ag2, optimized geometry; values from VASP
&SYSTEM
  ibrav = 0, nat = 10, ntyp = 3
/
ATOMIC_SPECIES
La 138.91 La.upf
Nd 144.24 Nd.upf
Ag 107.87 Ag.upf
CELL_PARAMETERS angstrom
3.770 0.000 0.000
0.000 5.481 0.000
-1.874 0.000 13.969
ATOMIC_POSITIONS angstrom
La 0.001 1.370 4.051
La 1.895 4.111 9.918
Nd 0.000 4.111 1.329
Nd 0.007 4.111 6.526
Nd 1.888 1.370 7.443
Nd 1.895 1.370 12.640
Ag 0.008 1.370 10.023
Ag 0.011 4.111 12.686
Ag 1.885 1.370 1.283
Ag 1.888 4.111 3.945
! - DFT formation energy: -0.189 eV/atom